This record from Alexandria via LeMat-Bulk describes crystalline CrHPtF2 at its relaxed geometry. The functional is PBE with a Hubbard U.

Structure (extended XYZ):
```
5
Lattice="3.7770 0.0000 0.0000 0.0000 3.7770 0.0000 0.0000 0.0000 5.0738" Properties=species:S:1:pos:R:3 pbc="T T T"
Cr 0.0000 0.0000 0.0000
H 0.0000 0.0000 2.5369
Pt 1.8885 1.8885 2.5369
F 0.0000 1.8885 0.0000
F 1.8885 0.0000 0.0000
```

Computed properties:
Symmetry: P4/mmm (123)
E_tot (eV for the cell shown): -23.26